Entry 1:
Compound: B3AsC
Source: the Alexandria database
Functional: PBE
Structure: relaxed

```
B3AsC
1.0
3.577 0.000 0.000
0.000 3.577 0.000
0.000 0.000 3.577
B As C
3 1 1
Direct
0.000 0.000 0.500
0.000 0.500 0.000
0.500 0.000 0.000
0.500 0.500 0.500
0.000 0.000 0.000
```

Output
energy of formation = 1.734 eV per atom
relative energy among the computed polymorphs = 0 meV per atom
DOS(E_F) = 1.2 states/eV/cell

=====

Entry 2:
Compound: B3AsC
Source: the Alexandria database
Functional: PBE
Structure: relaxed

```
B3AsC
1.0
4.033 0.000 0.000
0.000 4.033 0.000
0.000 0.000 4.033
B As C
3 1 1
Direct
0.000 0.000 0.500
0.000 0.500 0.000
0.500 0.000 0.000
0.000 0.000 0.000
0.500 0.500 0.500
```

Output
energy of formation = 3.005 eV per atom
relative energy among the computed polymorphs = 1271 meV per atom
DOS(E_F) = 3.5 states/eV/cell

=====

Entry 3:
Compound: BAsC3
Source: the Alexandria database
Functional: PBE
Structure: relaxed

```
BAsC3
1.0
3.555 0.000 0.000
0.000 3.555 0.000
0.000 0.000 3.555
B As C
1 1 3
Direct
0.000 0.000 0.000
0.500 0.500 0.500
0.000 0.000 0.500
0.000 0.500 0.000
0.500 0.000 0.000
```

Output
energy of formation = 2.449 eV per atom
relative energy among the computed polymorphs = 0 meV per atom
DOS(E_F) = 2.5 states/eV/cell

=====

Entry 4:
Compound: B2AsC2
Source: the Alexandria database
Functional: PBE
Structure: relaxed

```
B2AsC2
1.0
6.123 0.000 0.000
0.000 6.123 0.000
0.000 0.000 2.586
B As C
4 2 4
Direct
0.105 0.395 0.000
0.395 0.895 0.000
0.605 0.105 0.000
0.895 0.605 0.000
0.000 0.000 0.500
0.500 0.500 0.500
0.094 0.594 0.500
0.406 0.094 0.500
0.594 0.906 0.500
0.906 0.406 0.500
```

Output
energy of formation = 1.954 eV per atom
relative energy among the computed polymorphs = 971 meV per atom
DOS(E_F) = 1.5 states/eV/cell

=====

Entry 5:
Compound: B2AsCCl
Source: the Alexandria database
Functional: PBE
Structure: relaxed

```
B2AsCCl
1.0
4.355 0.000 0.000
0.000 4.355 0.000
0.000 0.000 3.888
B As C Cl
2 1 1 1
Direct
0.000 0.500 0.000
0.500 0.000 0.000
0.000 0.000 0.000
0.000 0.000 0.500
0.500 0.500 0.500
```

Output
raw formation energy = 10.764 eV per formula unit
DOS(E_F) = 1.8 states/eV/cell

=====

Entry 6:
Compound: CrBAsC2
Source: the Alexandria database
Functional: PBE
Structure: relaxed

```
CrBAsC2
1.0
3.625 0.000 0.000
0.000 3.625 0.000
0.000 0.000 5.146
Cr B As C
1 1 1 2
Direct
0.000 0.000 0.000
0.500 0.500 0.500
0.000 0.000 0.500
0.000 0.500 0.000
0.500 0.000 0.000
```

Output
energy of formation = 1.822 eV per atom
DOS(E_F) = 3.8 states/eV/cell

=====

Number 1 is which compound? B3AsC

=====

What is the formula in the first record? B3AsC

=====

DOS(E_F) of number 6 (CrBAsC2)? 3.8 states/eV/cell